Computed, not measured: a relaxed structure of Dy6Ag2Pd at the PBE level of DFT.

Computed properties:
- E_tot (eV per atom) = -4.555
- formation enthalpy at 0 K (eV per atom) = -0.28
- total moment (μB/cell) = 0.00

The structure in POSCAR format:
```
Dy6Ag2Pd
1.0
7.9844 0.3641 -2.9408
-4.0006 7.0204 -2.6906
-0.1146 -0.3641 8.5079
Dy Ag Pd
12 4 2
Direct
0.1878 0.7416 0.9294
0.0847 0.2585 0.8262
0.9153 0.7415 0.1738
0.4323 0.2585 0.1738
0.5677 0.7415 0.8262
0.8122 0.7416 0.5538
0.2779 0.6054 0.3275
0.7221 0.3946 0.6725
0.8122 0.2584 0.0706
0.7221 0.0496 0.3275
0.1878 0.2584 0.4462
0.2779 0.9504 0.6725
0.5000 0.3632 0.8632
0.5000 0.6368 0.1368
0.3529 0.0000 0.3529
0.6471 0.0000 0.6471
0.0000 0.0000 0.0000
0.0000 0.5000 0.5000
```

***

Computed, not measured: a relaxed structure of Na2Pu2Se2S at the PBE level of DFT.

Computed properties:
- formation energy from raw total energies (eV/atom) = -1.079
- E_tot (eV per atom) = -7.136
- total moment (μB/cell) = 11.88

The structure in POSCAR format:
```
Na2Pu2Se2S
1.0
5.2791 0.0000 0.0000
0.0000 5.2791 0.0000
-2.6396 -2.6396 7.4523
Se S Pu Na
2 1 2 2
Direct
0.6184 0.6184 0.2368
0.3816 0.3816 0.7632
0.0000 0.0000 0.0000
0.5000 0.0000 0.0000
0.0000 0.5000 0.0000
0.8077 0.8077 0.6155
0.1923 0.1923 0.3845
```

***

Computed, not measured: a relaxed structure of LaCd2Ni at the PBE level of DFT.

Computed properties:
- E_tot (eV per atom) = -3.336
- formation enthalpy at 0 K (eV per atom) = -0.20
- total moment (μB/cell) = 0.00

The structure in POSCAR format:
```
LaCd2Ni
1.0
-1.1102 2.0330 -2.9119
-0.8262 -3.4629 -2.1027
-6.1491 -1.6912 1.1637
Cd La Ni
2 1 1
Direct
0.5000 0.1977 0.2285
0.0000 0.8063 0.0125
0.0000 0.5219 0.5808
0.5000 0.9741 0.6782
```

***

Computed, not measured: a relaxed structure of HfUNi2P2 at the PBE level of DFT.

Computed properties:
- E_tot (eV per atom) = -8.177
- formation enthalpy at 0 K (eV per atom) = -0.91
- total moment (μB/cell) = 1.87

The structure in POSCAR format:
```
HfUNi2P2
1.0
-2.7485 -2.4488 -0.9440
3.5755 -1.2213 0.4075
-1.2862 -1.3485 7.2432
Ni P Hf U
2 2 1 1
Direct
0.3333 0.6667 0.7337
0.6667 0.3333 0.2663
0.3333 0.6667 0.2589
0.6667 0.3333 0.7411
0.0000 0.0000 0.5000
0.0000 0.0000 0.0000
```

***

Computed, not measured: a relaxed structure of KLiAgO2 at the PBE level of DFT.

Computed properties:
- formation energy from raw total energies (eV/atom) = -0.919
- E_tot (eV per atom) = -4.075
- total moment (μB/cell) = 0.85

The structure in POSCAR format:
```
KLiAgO2
1.0
5.3617 0.0000 0.0000
0.0000 5.2414 0.0000
0.0000 -2.6207 5.8086
Ag K O Li
2 2 4 2
Direct
0.0000 0.5000 0.0000
0.0000 0.0000 0.0000
0.6979 0.2500 0.5000
0.3021 0.7500 0.5000
0.6890 0.9034 0.8069
0.3110 0.0966 0.1931
0.6890 0.5966 0.1931
0.3110 0.4034 0.8069
0.5000 0.2500 0.0000
0.5000 0.7500 0.0000
```

***

Computed, not measured: a relaxed structure of BeAlOs2 at the PBE level of DFT.

Computed properties:
- E_tot (eV per atom) = -7.585
- formation enthalpy at 0 K (eV per atom) = -0.10
- total moment (μB/cell) = 0.00

The structure in POSCAR format:
```
BeAlOs2
1.0
3.6947 0.0000 0.0000
0.0000 2.7551 0.0085
0.0000 1.6969 5.1262
Os Al Be
2 1 1
Direct
0.0000 0.8839 0.9748
0.0000 0.6161 0.5252
0.5000 0.2500 0.2500
0.5000 0.7500 0.7500
```

***

Computed, not measured: a relaxed structure of LiHo2AgTe4 at the PBE level of DFT.

Computed properties:
- formation energy from raw total energies (eV/atom) = -1.054
- E_tot (eV per atom) = -4.365
- total moment (μB/cell) = 0.00

The structure in POSCAR format:
```
LiHo2AgTe4
1.0
-2.0853 -3.4622 -1.6343
6.5718 -3.6234 -0.7093
-2.9694 -1.3990 6.7525
Te Ag Li Ho
4 1 1 2
Direct
0.5000 0.2491 0.2470
0.0000 0.7468 0.2477
0.0000 0.2532 0.7523
0.5000 0.7509 0.7530
0.0000 0.0000 0.0000
0.5000 0.5000 0.0000
0.0000 0.5000 0.5000
0.5000 0.0000 0.5000
```

***

Computed, not measured: a relaxed structure of La2Y4Ho7 at the PBE level of DFT.

Computed properties:
- E_tot (eV per atom) = -5.027
- formation enthalpy at 0 K (eV per atom) = 0.18
- total moment (μB/cell) = 0.00

The structure in POSCAR format:
```
La2Y4Ho7
1.0
6.0900 0.0000 -0.0001
-3.0450 5.2741 0.0001
0.0000 0.0000 13.3434
Ho La Y
7 2 4
Direct
0.3552 0.0000 0.7835
0.0000 0.6448 0.2165
0.0000 0.3552 0.7835
0.0000 0.0000 0.0000
0.6448 0.0000 0.2165
0.6448 0.6448 0.7835
0.3552 0.3552 0.2165
0.6667 0.3333 0.0000
0.3333 0.6667 0.0000
0.3333 0.6667 0.5000
0.0000 0.0000 0.3947
0.6667 0.3333 0.5000
0.0000 0.0000 0.6053
```